# 1
The following is a DFT calculation (PBE-GGA) of a relaxed structure of VCrCuIr.

Output
E_tot ... -8.017 eV per atom

```
data_VCrCuIr
_chemical_formula_sum 'V4 Cr4 Cu4 Ir4'
_cell_length_a 5.9659
_cell_length_b 5.9659
_cell_length_c 5.9659
_cell_angle_alpha 90.00
_cell_angle_beta 90.00
_cell_angle_gamma 90.00
_symmetry_space_group_name_H-M 'F -4 3 m'
_symmetry_Int_Tables_number 216
_symmetry_space_group_name_Hall 'F -4 2 3'
loop_
_atom_site_label
_atom_site_type_symbol
_atom_site_fract_x
_atom_site_fract_y
_atom_site_fract_z
V1 V 0.0000 0.0000 0.0000
Cr1 Cr 0.2500 0.2500 0.7500
Cu1 Cu 0.0000 0.0000 0.5000
Ir1 Ir 0.2500 0.2500 0.2500
```



# 2
The following is a DFT calculation (PBE-GGA) of a relaxed structure of Cu4PdPt3.

Output
E_tot ... -5.095 eV per atom
Offset from the most stable computed form ... 0.000 eV/atom

```
data_Cu4PdPt3
_chemical_formula_sum 'Cu8 Pd2 Pt6'
_cell_length_a 8.7707
_cell_length_b 5.6099
_cell_length_c 4.5102
_cell_angle_alpha 90.00
_cell_angle_beta 90.00
_cell_angle_gamma 90.00
_symmetry_space_group_name_H-M 'P m m a'
_symmetry_Int_Tables_number 51
_symmetry_space_group_name_Hall '-P 2a 2a'
loop_
_atom_site_label
_atom_site_type_symbol
_atom_site_fract_x
_atom_site_fract_y
_atom_site_fract_z
Cu1 Cu 0.0000 0.2483 0.0000
Cu2 Cu 0.2500 0.2493 0.3686
Pd1 Pd 0.0000 0.5000 0.5000
Pt1 Pt 0.0000 0.0000 0.5000
Pt2 Pt 0.2500 0.0000 0.8703
Pt3 Pt 0.2500 0.5000 0.8798
```



# 3
The following is a DFT calculation (PBE-GGA) of a relaxed structure of RbIr2N.

Output
E_tot ... -6.161 eV per atom
Formation energy (no corrections) ... 229 kJ/mol of formula units

```
data_RbIr2N
_chemical_formula_sum 'Rb4 Ir8 N4'
_cell_length_a 6.2728
_cell_length_b 6.2728
_cell_length_c 8.9048
_cell_angle_alpha 90.00
_cell_angle_beta 90.00
_cell_angle_gamma 90.00
_symmetry_space_group_name_H-M 'I 41/a m d'
_symmetry_Int_Tables_number 141
loop_
_symmetry_equiv_pos_as_xyz
'x,y,z'
'-x,-y,-z'
'-y+1/4,x+3/4,z+1/4'
'y+1/4,-x+3/4,-z+1/4'
'-x+1/2,-y,z+1/2'
'x+1/2,y,-z+1/2'
'y+1/4,-x+1/4,z+3/4'
'-y+1/4,x+1/4,-z+3/4'
'x,-y,-z'
'-x,y,z'
'-y+1/4,-x+1/4,-z+3/4'
'y+1/4,x+1/4,z+3/4'
'-x+1/2,y,-z+1/2'
'x+1/2,-y,z+1/2'
'y+1/4,x+3/4,-z+1/4'
'-y+1/4,-x+3/4,z+1/4'
'x+1/2,y+1/2,z+1/2'
'-x+1/2,-y+1/2,-z+1/2'
'-y+3/4,x+1/4,z+3/4'
'y+3/4,-x+1/4,-z+3/4'
'-x,-y+1/2,z'
'x,y+1/2,-z'
'y+3/4,-x+3/4,z+1/4'
'-y+3/4,x+3/4,-z+1/4'
'x+1/2,-y+1/2,-z+1/2'
'-x+1/2,y+1/2,z+1/2'
'-y+3/4,-x+3/4,-z+1/4'
'y+3/4,x+3/4,z+1/4'
'-x,y+1/2,-z'
'x,-y+1/2,z'
'y+3/4,x+1/4,-z+3/4'
'-y+3/4,-x+1/4,z+3/4'
loop_
_atom_site_label
_atom_site_type_symbol
_atom_site_fract_x
_atom_site_fract_y
_atom_site_fract_z
Rb1 Rb 0.0000 0.2500 0.3750
Ir1 Ir 0.0000 0.0000 0.0000
N1 N 0.0000 0.2500 0.8750
```



# 4
The following is a DFT calculation (PBE-GGA) of a relaxed structure of DySnAu4.

Output
E_tot ... -4.107 eV per atom
Offset from the most stable computed form ... 0.000 eV/atom

```
data_DySnAu4
_chemical_formula_sum 'Dy2 Sn2 Au8'
_cell_length_a 5.1967
_cell_length_b 9.1791
_cell_length_c 5.2013
_cell_angle_alpha 90.00
_cell_angle_beta 90.00
_cell_angle_gamma 90.00
_symmetry_space_group_name_H-M 'C m m m'
_symmetry_Int_Tables_number 65
_symmetry_space_group_name_Hall '-C 2 2'
loop_
_atom_site_label
_atom_site_type_symbol
_atom_site_fract_x
_atom_site_fract_y
_atom_site_fract_z
Dy1 Dy 0.0000 0.0000 0.0000
Sn1 Sn 0.0000 0.5000 0.5000
Au1 Au 0.0000 0.1680 0.5000
Au2 Au 0.0000 0.3303 0.0000
```



# 5
The following is a DFT calculation (PBE-GGA) of a relaxed structure of Ac2Pr2ThRh4.

Output
E_tot ... -6.716 eV per atom

```
data_Ac2Pr2ThRh4
_chemical_formula_sum 'Ac4 Pr4 Th2 Rh8'
_cell_length_a 18.1369
_cell_length_b 4.1318
_cell_length_c 6.4541
_cell_angle_alpha 90.00
_cell_angle_beta 99.11
_cell_angle_gamma 90.00
_symmetry_space_group_name_H-M 'C 1 2/m 1'
_symmetry_Int_Tables_number 12
_symmetry_space_group_name_Hall '-C 2y'
loop_
_atom_site_label
_atom_site_type_symbol
_atom_site_fract_x
_atom_site_fract_y
_atom_site_fract_z
Ac1 Ac 0.1192 0.0000 0.0607
Pr1 Pr 0.1754 0.5000 0.5971
Th1 Th 0.0000 0.0000 0.5000
Rh1 Rh 0.0144 0.5000 0.7898
Rh2 Rh 0.2392 0.5000 0.1663
```



# 6
The following is a DFT calculation (PBE-GGA) of a relaxed structure of Ac2ErIn12Pt3.

Output
E_tot ... -3.696 eV per atom

```
data_Ac2ErIn12Pt3
_chemical_formula_sum 'Ac6 Er3 In36 Pt9'
_cell_length_a 7.4426
_cell_length_b 7.4426
_cell_length_c 31.5060
_cell_angle_alpha 90.00
_cell_angle_beta 90.00
_cell_angle_gamma 120.00
_symmetry_space_group_name_H-M 'R -3 m'
_symmetry_Int_Tables_number 166
_symmetry_space_group_name_Hall '-R 3 2"'
loop_
_atom_site_label
_atom_site_type_symbol
_atom_site_fract_x
_atom_site_fract_y
_atom_site_fract_z
Ac1 Ac 0.0000 0.0000 0.1447
Er1 Er 0.0000 0.0000 0.5000
In1 In 0.0405 0.5203 0.0935
In2 In 0.0537 0.5268 0.6240
Pt1 Pt 0.0000 0.5000 0.0000
```



# 7
The following is a DFT calculation (PBE-GGA) of a relaxed structure of Mg2Cd2Ag3.

Output
E_tot ... -2.001 eV per atom
Offset from the most stable computed form ... 0.067 eV/atom

```
data_Mg2Cd2Ag3
_chemical_formula_sum 'Mg4 Cd4 Ag6'
_cell_length_a 5.2526
_cell_length_b 8.9031
_cell_length_c 6.0574
_cell_angle_alpha 90.00
_cell_angle_beta 95.65
_cell_angle_gamma 90.00
_symmetry_space_group_name_H-M 'P 1 21/c 1'
_symmetry_Int_Tables_number 14
_symmetry_space_group_name_Hall '-P 2ybc'
loop_
_atom_site_label
_atom_site_type_symbol
_atom_site_fract_x
_atom_site_fract_y
_atom_site_fract_z
Mg1 Mg 0.0091 0.2460 0.2583
Cd1 Cd 0.4931 0.6765 0.4959
Ag1 Ag 0.0000 0.0000 0.0000
Ag2 Ag 0.2636 0.0026 0.5821
```



# 8
The following is a DFT calculation (PBE-GGA) of a relaxed structure of BHIr2.

Output
E_tot ... -6.630 eV per atom
Offset from the most stable computed form ... 0.241 eV/atom

```
data_BHIr2
_chemical_formula_sum 'B4 H4 Ir8'
_cell_length_a 4.0579
_cell_length_b 4.0579
_cell_length_c 10.8425
_cell_angle_alpha 90.00
_cell_angle_beta 90.00
_cell_angle_gamma 90.00
_symmetry_space_group_name_H-M 'I -4 2 d'
_symmetry_Int_Tables_number 122
_symmetry_space_group_name_Hall 'I -4 2bw'
loop_
_atom_site_label
_atom_site_type_symbol
_atom_site_fract_x
_atom_site_fract_y
_atom_site_fract_z
B1 B 0.0000 0.0000 0.0000
H1 H 0.0000 0.0000 0.5000
Ir1 Ir 0.2227 0.2500 0.6250
```